DFT (PBE) results for TiTl2S after structural relaxation.

Energy relative to the elements, uncorrected ... 24.3 kJ per mole of atoms
Space group ... No. 122
ΔE to the lowest computed polymorph ... 0.000 eV per atom
Calculated density ... 8.41 g/cm³
Crystal system ... tetragonal

abc: 8.0070 8.0070 6.4121
angles: 51.36 51.36 90.00
Last column: magnetic moment on the atom in μB.
Sites, in units of the cell vectors:
Tl 0.6165 0.1250 0.2500  0.01
Tl 0.1335 0.6250 0.2500  0.01
Tl 0.3750 0.3835 0.7500  0.01
Tl 0.8750 0.8665 0.7500  0.01
S 0.5000 0.5000 0.0000  0.02
S 0.2500 0.7500 0.5000  0.03
Ti 0.0000 0.0000 0.0000  1.52
Ti 0.7500 0.2500 0.5000  1.51

***

DFT (PBE) results for Rb3PuGe2Br9 after structural relaxation.

Energy relative to the elements, uncorrected ... -116.6 kJ per mole of atoms
Space group ... No. 164
Calculated density ... 4.07 g/cm³
Crystal system ... trigonal

abc: 8.0502 8.0502 9.9175
angles: 90.00 90.00 120.00
Last column: magnetic moment on the atom in μB.
Sites, in units of the cell vectors:
Rb 0.3333 0.6667 0.6885  0.00
Rb 0.0000 0.0000 0.0000  0.00
Rb 0.6667 0.3333 0.3115  0.00
Pu 0.0000 0.0000 0.5000  5.54
Ge 0.3333 0.6667 0.1563  0.10
Ge 0.6667 0.3333 0.8437  0.10
Br 0.8309 0.1691 0.6719  -0.01
Br 0.8309 0.6618 0.6719  -0.01
Br 0.3382 0.1691 0.6719  -0.01
Br 0.6618 0.8309 0.3281  -0.01
Br 0.1691 0.3382 0.3281  -0.01
Br 0.1691 0.8309 0.3281  -0.01
Br 0.5000 0.0000 0.0000  0.00
Br 0.0000 0.5000 0.0000  0.00
Br 0.5000 0.5000 0.0000  0.00

***

DFT (PBE) results for Pa3H12Ir5 after structural relaxation.

Space group ... No. 230
Calculated density ... 13.56 g/cm³
Crystal system ... cubic

abc: 10.1969 10.1969 10.1969
angles: 109.47 109.47 109.47
Last column: magnetic moment on the atom in μB.
Sites, in units of the cell vectors:
H 0.6886 0.0964 0.0112  0.00
H 0.3226 0.5112 0.4148  0.00
H 0.9888 0.4036 0.3114  0.00
H 0.5112 0.1886 0.0964  0.00
H 0.5922 0.6886 0.6774  0.00
H 0.9888 0.5852 0.1774  0.00
H 0.3226 0.8114 0.4078  0.00
H 0.0852 0.9078 0.0964  0.00
H 0.5852 0.9888 0.6774  0.00
H 0.6886 0.5922 0.1774  0.00
H 0.8114 0.4888 0.4036  0.00
H 0.8226 0.9148 0.0112  0.00
H 0.0964 0.6886 0.5112  0.00
H 0.4036 0.4148 0.0922  0.00
H 0.0922 0.9148 0.4036  0.00
H 0.4078 0.0964 0.5852  0.00
H 0.0922 0.1774 0.1886  0.00
H 0.4888 0.6774 0.0852  0.00
H 0.8226 0.9078 0.3114  0.00
H 0.0964 0.4078 0.0852  0.00
H 0.4036 0.9888 0.8114  0.00
H 0.5852 0.5964 0.4078  0.00
H 0.9148 0.8226 0.5112  0.00
H 0.8114 0.3226 0.9078  0.00
H 0.4148 0.4036 0.5922  0.00
H 0.0852 0.1774 0.4888  0.00
H 0.1886 0.6774 0.0922  0.00
H 0.1774 0.0922 0.6886  0.00
H 0.5964 0.0112 0.1886  0.00
H 0.9036 0.5922 0.9148  0.00
H 0.5112 0.3226 0.9148  0.00
H 0.5922 0.9036 0.4148  0.00
H 0.9078 0.8226 0.8114  0.00
H 0.9078 0.0852 0.5964  0.00
H 0.9036 0.3114 0.4888  0.00
H 0.1774 0.0852 0.9888  0.00
H 0.5964 0.5852 0.9078  0.00
H 0.4148 0.0112 0.3226  0.00
H 0.3114 0.4078 0.8226  0.00
H 0.1886 0.5112 0.5964  0.00
H 0.9148 0.0922 0.9036  0.00
H 0.6774 0.1886 0.5922  0.00
H 0.4888 0.8114 0.9036  0.00
H 0.0112 0.4148 0.8226  0.00
H 0.4078 0.3114 0.3226  0.00
H 0.0112 0.5964 0.6886  0.00
H 0.6774 0.4888 0.5852  0.00
H 0.3114 0.9036 0.9888  0.00
Pa 0.7500 0.3750 0.1250  0.80
Pa 0.8750 0.7500 0.1250  0.80
Pa 0.3750 0.7500 0.6250  0.80
Pa 0.2500 0.1250 0.3750  0.80
Pa 0.8750 0.1250 0.2500  0.80
Pa 0.3750 0.6250 0.2500  0.80
Pa 0.6250 0.3750 0.7500  0.80
Pa 0.1250 0.8750 0.7500  0.80
Pa 0.7500 0.8750 0.6250  0.80
Pa 0.6250 0.2500 0.3750  0.80
Pa 0.1250 0.2500 0.8750  0.80
Pa 0.2500 0.6250 0.8750  0.80
Ir 0.1250 0.3750 0.2500  -0.03
Ir 0.0000 0.5000 0.0000  0.03
Ir 0.0000 0.0000 0.0000  0.03
Ir 0.3750 0.2500 0.1250  -0.03
Ir 0.5000 0.0000 0.5000  0.03
Ir 0.5000 0.5000 0.0000  0.03
Ir 0.1250 0.7500 0.3750  -0.03
Ir 0.7500 0.1250 0.8750  -0.03
Ir 0.7500 0.6250 0.3750  -0.03
Ir 0.3750 0.1250 0.7500  -0.03
Ir 0.6250 0.8750 0.2500  -0.03
Ir 0.5000 0.5000 0.5000  0.03
Ir 0.5000 0.0000 0.0000  0.03
Ir 0.0000 0.0000 0.5000  0.03
Ir 0.2500 0.3750 0.6250  -0.03
Ir 0.2500 0.8750 0.1250  -0.03
Ir 0.0000 0.5000 0.5000  0.03
Ir 0.8750 0.2500 0.6250  -0.03
Ir 0.6250 0.7500 0.8750  -0.03
Ir 0.8750 0.6250 0.7500  -0.03

***

DFT (PBE) results for Ca4Ga2H after structural relaxation.

Space group ... No. 139
ΔE to the lowest computed polymorph ... 0.023 eV per atom
Calculated density ... 2.76 g/cm³
Crystal system ... tetragonal

abc: 4.8338 4.8338 8.4606
angles: 73.40 73.40 90.00
Sites, in units of the cell vectors:
H 0.0000 0.0000 0.0000
Ca 0.1820 0.1820 0.6359
Ca 0.8180 0.8180 0.3641
Ca 0.0000 0.5000 0.0000
Ca 0.5000 0.0000 0.0000
Ga 0.3774 0.3774 0.2452
Ga 0.6226 0.6226 0.7548

***

DFT (PBE) results for CdGaSnF6 after structural relaxation.

Energy relative to the elements, uncorrected ... -206.9 kJ per mole of atoms
Space group ... No. 5
Calculated density ... 4.66 g/cm³
Crystal system ... monoclinic

abc: 5.8382 5.8381 5.0314
angles: 90.11 89.89 59.59
Sites, in units of the cell vectors:
Cd 0.6657 0.6657 0.5001
Ga 0.3334 0.3335 0.5000
Sn 0.9993 0.9994 0.0000
F 0.0596 0.3269 0.2804
F 0.3267 0.0597 0.7195
F 0.6150 0.3257 0.7195
F 0.0560 0.6182 0.7201
F 0.3259 0.6149 0.2804
F 0.6180 0.0560 0.2799

***

DFT (PBE) results for Rb2ThSnTe4 after structural relaxation.

Energy relative to the elements, uncorrected ... -96.2 kJ per mole of atoms
Space group ... No. 10
Calculated density ... 5.31 g/cm³
Crystal system ... monoclinic

abc: 4.6803 8.1680 8.8459
angles: 107.22 90.00 90.00
Sites, in units of the cell vectors:
Rb 0.5000 0.0000 0.5000
Rb 0.0000 0.5000 0.5000
Th 0.5000 0.5000 0.0000
Sn 0.0000 0.0000 0.0000
Te 0.5000 0.2442 0.2006
Te 0.5000 0.7558 0.7994
Te 0.0000 0.2723 0.7992
Te 0.0000 0.7277 0.2008

***

DFT (PBE) results for Tb3TmTh after structural relaxation.

Space group ... No. 38
ΔE to the lowest computed polymorph ... 0.217 eV per atom
Calculated density ... 8.32 g/cm³
Crystal system ... orthorhombic

abc: 3.4045 8.6624 8.6624
angles: 136.72 90.00 90.00
Sites, in units of the cell vectors:
Tb 0.5000 0.1478 0.3740
Tb 0.5000 0.6260 0.8522
Tb 0.0000 0.2262 0.7738
Tm 0.5000 0.0527 0.9473
Th 0.0000 0.5753 0.4247

***

DFT (PBE) results for Ac3Nd4Y after structural relaxation.

Space group ... No. 59
Calculated density ... 7.29 g/cm³
Crystal system ... orthorhombic

abc: 5.3713 10.6852 10.6875
angles: 90.00 90.00 90.00
Sites, in units of the cell vectors:
Y 0.0644 0.3644 0.0000
Y 0.5644 0.6355 0.5000
Ac 0.5644 0.6319 0.0000
Ac 0.0644 0.6319 0.2540
Ac 0.5644 0.3681 0.2460
Ac 0.0644 0.3681 0.5000
Ac 0.5644 0.3681 0.7540
Ac 0.0644 0.6319 0.7460
Nd 0.0644 0.8844 0.0000
Nd 0.5644 0.1196 0.0000
Nd 0.0644 0.1178 0.2460
Nd 0.5644 0.8822 0.2540
Nd 0.0644 0.8804 0.5000
Nd 0.5644 0.1156 0.5000
Nd 0.5644 0.8822 0.7460
Nd 0.0644 0.1178 0.7540

***

DFT (PBE) results for GeAs3N after structural relaxation.

Energy relative to the elements, uncorrected ... 173.2 kJ per mole of atoms
Space group ... No. 221
ΔE to the lowest computed polymorph ... 1.041 eV per atom
Calculated density ... 4.20 g/cm³
Crystal system ... cubic

abc: 4.9756 4.9756 4.9756
angles: 90.00 90.00 90.00
Last column: magnetic moment on the atom in μB.
Sites, in units of the cell vectors:
As 0.0000 0.5000 0.0000  0.01
As 0.0000 0.0000 0.5000  -0.07
As 0.5000 0.0000 0.0000  -0.02
Ge 0.0000 0.0000 0.0000  -0.01
N 0.5000 0.5000 0.5000  1.68

***

DFT (PBE) results for Sr3Sm3DyS8 after structural relaxation.

Energy relative to the elements, uncorrected ... -201.1 kJ per mole of atoms
Space group ... No. 166
Calculated density ... 4.77 g/cm³
Crystal system ... trigonal

abc: 8.1274 8.1272 8.3424
angles: 119.15 90.00 120.00
Sites, in units of the cell vectors:
Sr 0.0000 0.0000 0.0000
Sr 0.0000 0.5000 0.0000
Sr 0.5000 0.5000 0.0000
Sm 0.5000 0.0000 0.5000
Sm 0.5000 0.5000 0.5000
Sm 0.0000 0.5000 0.5000
Dy 0.0000 0.0000 0.5000
S 0.2547 0.5093 0.2640
S 0.7453 0.4907 0.7360
S 0.7619 0.5239 0.2741
S 0.2381 0.4761 0.7259
S 0.7620 0.0121 0.2741
S 0.2380 0.9879 0.7259
S 0.2502 0.0121 0.2741
S 0.7498 0.9879 0.7259

***

DFT (PBE) results for Ho6AlTe3As2 after structural relaxation.

Energy relative to the elements, uncorrected ... -118.3 kJ per mole of atoms
Space group ... No. 12
Calculated density ... 7.90 g/cm³
Crystal system ... monoclinic

abc: 4.1600 8.6696 9.5595
angles: 104.11 102.57 90.00
Sites, in units of the cell vectors:
Ho 0.3384 0.8991 0.6769
Ho 0.6741 0.5662 0.3481
Ho 0.6616 0.1009 0.3231
Ho 0.0062 0.2413 0.0123
Ho 0.9938 0.7587 0.9877
Ho 0.3259 0.4338 0.6519
Al 0.5000 0.0000 0.0000
Te 0.5000 0.5000 0.0000
Te 0.8323 0.1687 0.6647
Te 0.1677 0.8313 0.3353
As 0.8324 0.6641 0.6648
As 0.1676 0.3359 0.3352

***

DFT (PBE) results for Ac3ZnIr3 after structural relaxation.

Space group ... No. 176
ΔE to the lowest computed polymorph ... 0.200 eV per atom
Calculated density ... 10.70 g/cm³
Crystal system ... hexagonal

abc: 6.0008 8.8883 8.8883
angles: 120.00 90.00 90.00
Sites, in units of the cell vectors:
Ac 0.7500 0.7038 0.6467
Ac 0.7500 0.3533 0.0571
Ac 0.7500 0.9429 0.2962
Ac 0.2500 0.2962 0.3533
Ac 0.2500 0.6467 0.9429
Ac 0.2500 0.0571 0.7038
Zn 0.2500 0.6667 0.3333
Zn 0.7500 0.3333 0.6667
Ir 0.2500 0.6817 0.6230
Ir 0.2500 0.3770 0.0588
Ir 0.2500 0.9412 0.3183
Ir 0.7500 0.3183 0.3770
Ir 0.7500 0.6230 0.9412
Ir 0.7500 0.0588 0.6817

***

no.,total magnetic moment (μB/cell),uncorrected energy (eV/cell)
1,3.98,-31.5
2,6.01,-59.6
3,11.09,-455.2
4,0.00,-19.7
5,0.00,-38.5
6,0.00,-33.9
7,0.00,-23.7
8,0.00,-75.2
9,2.29,-17.9
10,0.00,-88.1
11,0.00,-64.7
12,0.00,-85.5